# PBE Nb2CrRh9, relaxed
# E_form: -0.371 eV/atom
# magnetic moment: 1.2 μB per formula unit
# electronic total energy: -8.36 eV per atom
data_Nb2CrRh9
_space_group_name_H-M_alt 'P 4/m m m'
_space_group_IT_number 123
_space_group_name_Hall '-P 4 2'
_cell_length_a 3.874
_cell_length_b 3.874
_cell_length_c 11.608
_cell_angle_alpha 90.00
_cell_angle_beta 90.00
_cell_angle_gamma 90.00
loop_
_atom_site_label
_atom_site_type_symbol
_atom_site_fract_x
_atom_site_fract_y
_atom_site_fract_z
Nb1 Nb 0.000 0.000 0.169
Cr1 Cr 0.000 0.000 0.500
Rh1 Rh 0.000 0.500 0.000
Rh2 Rh 0.000 0.500 0.339
Rh3 Rh 0.500 0.500 0.169
Rh4 Rh 0.500 0.500 0.500



# PBE NbCr2Rh, relaxed
# E_form: 0.591 eV/atom
# magnetic moment: 0.0 μB per formula unit
# electronic total energy: -8.58 eV per atom
data_NbCr2Rh
_space_group_name_H-M_alt 'I -4 2 d'
_space_group_IT_number 122
_space_group_name_Hall 'I -4 2bw'
_cell_length_a 6.902
_cell_length_b 6.902
_cell_length_c 5.078
_cell_angle_alpha 90.00
_cell_angle_beta 90.00
_cell_angle_gamma 90.00
loop_
_atom_site_label
_atom_site_type_symbol
_atom_site_fract_x
_atom_site_fract_y
_atom_site_fract_z
Nb1 Nb 0.000 0.000 0.000
Cr1 Cr 0.235 0.250 0.625
Rh1 Rh 0.000 0.000 0.500